[1]
Below is BaMg2BiAu after structural relaxation, with properties calculated at the PBEsol level.

## Properties
* ΔE_f: 1246 meV per atom
* size of the total moment: 0.00 Bohr magnetons per cell
* uncorrected energy: -1.513 eV/atom

a = 6.5215 Å, b = 6.5215 Å, c = 6.0910 Å
α = 90.00°, β = 90.00°, γ = 90.00°
Fractional coordinates of all 5 atoms:
Ba (0.0000, 0.0000, 0.0000)
Mg (0.0000, 0.5000, 0.0000)
Mg (0.5000, 0.0000, 0.0000)
Bi (0.0000, 0.0000, 0.5000)
Au (0.5000, 0.5000, 0.5000)

[2]
Below is Ge2BiBr after structural relaxation, with properties calculated at the PBEsol level.

## Properties
* E_form (uncorrected): 0.1618 eV per atom
* size of the total moment: 0.00 Bohr magnetons per cell
* uncorrected energy: -3.847 eV/atom

a = 5.0827 Å, b = 5.0827 Å, c = 5.0827 Å
α = 60.00°, β = 60.00°, γ = 60.00°
Fractional coordinates of all 4 atoms:
Ge (0.2500, 0.2500, 0.2500)
Ge (0.7500, 0.7500, 0.7500)
Bi (0.0000, 0.0000, 0.0000)
Br (0.5000, 0.5000, 0.5000)

[3]
Below is CuRu2Cl after structural relaxation, with properties calculated at the PBEsol level.

## Properties
* E_form (uncorrected): 0.5424 eV per atom
* distance to the lowest polymorph of the same formula: 294 meV/atom
* size of the total moment: 0.00 Bohr magnetons per cell
* uncorrected energy: -6.129 eV/atom

a = 8.0761 Å, b = 8.0761 Å, c = 8.0761 Å
α = 19.82°, β = 19.82°, γ = 19.82°
Fractional coordinates of all 4 atoms:
Cu (0.0000, 0.0000, 0.0000)
Ru (0.2481, 0.2481, 0.2481)
Ru (0.7519, 0.7519, 0.7519)
Cl (0.5000, 0.5000, 0.5000)

[4]
Below is RbSb2TeSe after structural relaxation, with properties calculated at the PBEsol level.

## Properties
* E_form (uncorrected): 1.5854 eV per atom
* size of the total moment: 1.72 Bohr magnetons per cell
* uncorrected energy: -1.918 eV/atom

a = 5.9344 Å, b = 5.9344 Å, c = 5.9134 Å
α = 90.00°, β = 90.00°, γ = 90.00°
Fractional coordinates of all 5 atoms:
Rb (0.0000, 0.0000, 0.0000)
Sb (0.0000, 0.5000, 0.0000)
Sb (0.5000, 0.0000, 0.0000)
Te (0.0000, 0.0000, 0.5000)
Se (0.5000, 0.5000, 0.5000)

[5]
Below is K2CuSb after structural relaxation, with properties calculated at the PBEsol level.

## Properties
* E_form (uncorrected): -0.2051 eV per atom
* size of the total moment: 0.00 Bohr magnetons per cell
* uncorrected energy: -2.995 eV/atom

a = 6.0842 Å, b = 6.0842 Å, c = 6.0842 Å
α = 135.48°, β = 122.17°, γ = 75.79°
Fractional coordinates of all 4 atoms:
K (0.0000, 0.0000, 0.0000)
K (0.6845, 0.1845, 0.5000)
Cu (0.3735, 0.3735, 0.0000)
Sb (0.2907, 0.7907, 0.5000)

[6]
Below is Lu2Co3Si5 after structural relaxation, with properties calculated at the PBEsol level.

## Properties
* E_form (uncorrected): -0.8490 eV per atom
* size of the total moment: 0.28 Bohr magnetons per cell
* uncorrected energy: -7.018 eV/atom

a = 7.7461 Å, b = 7.7461 Å, c = 7.7461 Å
α = 105.88°, β = 88.05°, γ = 139.50°
Fractional coordinates of all 20 atoms:
Lu (0.1374, 0.2313, 0.3687)
Lu (0.3626, 0.7313, 0.0938)
Lu (0.6374, 0.2687, 0.9062)
Lu (0.8626, 0.7687, 0.6313)
Co (0.1401, 0.8950, 0.0351)
Co (0.2500, 0.7500, 0.5000)
Co (0.3599, 0.3950, 0.7550)
Co (0.6401, 0.6050, 0.2450)
Co (0.7500, 0.2500, 0.5000)
Co (0.8599, 0.1050, 0.9649)
Si (0.0290, 0.7500, 0.2790)
Si (0.0974, 0.6641, 0.7615)
Si (0.2500, 0.2500, 0.0000)
Si (0.4026, 0.1641, 0.5667)
Si (0.4710, 0.7500, 0.7210)
Si (0.5290, 0.2500, 0.2790)
Si (0.5974, 0.8359, 0.4333)
Si (0.7500, 0.7500, 0.0000)
Si (0.9026, 0.3359, 0.2385)
Si (0.9710, 0.2500, 0.7210)

[7]
Below is Tc2MoW after structural relaxation, with properties calculated at the PBEsol level.

## Properties
* ΔE_f: 88 meV per atom
* distance to the lowest polymorph of the same formula: 7 meV/atom
* size of the total moment: 0.00 Bohr magnetons per cell
* uncorrected energy: -11.939 eV/atom

a = 4.3721 Å, b = 4.3721 Å, c = 4.3721 Å
α = 60.00°, β = 60.00°, γ = 60.00°
Fractional coordinates of all 4 atoms:
Tc (0.2500, 0.2500, 0.2500)
Tc (0.7500, 0.7500, 0.7500)
Mo (0.0000, 0.0000, 0.0000)
W (0.5000, 0.5000, 0.5000)

[8]
Below is CuCF3 after structural relaxation, with properties calculated at the PBEsol level.

## Properties
* E_form (uncorrected): 0.3058 eV per atom
* size of the total moment: 1.16 Bohr magnetons per cell
* uncorrected energy: -3.646 eV/atom

a = 3.8366 Å, b = 3.8366 Å, c = 3.8366 Å
α = 90.00°, β = 90.00°, γ = 90.00°
Fractional coordinates of all 5 atoms:
Cu (0.0000, 0.0000, 0.0000)
C (0.5000, 0.5000, 0.5000)
F (0.0000, 0.0000, 0.5000)
F (0.0000, 0.5000, 0.0000)
F (0.5000, 0.0000, 0.0000)

[9]
Below is Ti2NiBPd after structural relaxation, with properties calculated at the PBEsol level.

## Properties
* ΔE_f: 1021 meV per atom
* size of the total moment: 0.00 Bohr magnetons per cell
* uncorrected energy: -6.134 eV/atom

a = 4.2849 Å, b = 4.2849 Å, c = 4.4520 Å
α = 90.00°, β = 90.00°, γ = 90.00°
Fractional coordinates of all 5 atoms:
Ti (0.0000, 0.5000, 0.0000)
Ti (0.5000, 0.0000, 0.0000)
Ni (0.0000, 0.0000, 0.0000)
B (0.5000, 0.5000, 0.5000)
Pd (0.0000, 0.0000, 0.5000)

[10]
Below is Y2Zn2Cd after structural relaxation, with properties calculated at the PBEsol level.

## Properties
* ΔE_f: -92 meV per atom
* size of the total moment: 0.00 Bohr magnetons per cell
* uncorrected energy: -3.693 eV/atom

a = 9.4418 Å, b = 9.4418 Å, c = 9.4418 Å
α = 158.31°, β = 158.31°, γ = 30.86°
Fractional coordinates of all 5 atoms:
Y (0.1090, 0.1090, 0.0000)
Y (0.8910, 0.8910, 0.0000)
Zn (0.2500, 0.7500, 0.5000)
Zn (0.7500, 0.2500, 0.5000)
Cd (0.5000, 0.5000, 0.0000)

[11]
Below is KSnAs2Se after structural relaxation, with properties calculated at the PBEsol level.

## Properties
* E_form (uncorrected): 0.2316 eV per atom
* size of the total moment: 0.98 Bohr magnetons per cell
* uncorrected energy: -3.660 eV/atom

a = 5.2728 Å, b = 5.2728 Å, c = 5.4435 Å
α = 90.00°, β = 90.00°, γ = 90.00°
Fractional coordinates of all 5 atoms:
K (0.0000, 0.0000, 0.0000)
Sn (0.5000, 0.5000, 0.5000)
As (0.0000, 0.5000, 0.5000)
As (0.5000, 0.0000, 0.5000)
Se (0.5000, 0.5000, 0.0000)

[12]
Below is AlTlOs2 after structural relaxation, with properties calculated at the PBEsol level.

## Properties
* ΔE_f: 441 meV per atom
* distance to the lowest polymorph of the same formula: 0 meV/atom
* size of the total moment: 0.00 Bohr magnetons per cell
* uncorrected energy: -7.347 eV/atom

a = 3.0503 Å, b = 3.0503 Å, c = 6.6487 Å
α = 90.00°, β = 90.00°, γ = 90.00°
Fractional coordinates of all 4 atoms:
Al (0.0000, 0.0000, 0.0000)
Tl (0.0000, 0.0000, 0.5000)
Os (0.5000, 0.5000, 0.2137)
Os (0.5000, 0.5000, 0.7863)

[13]
Below is TcIrRh2 after structural relaxation, with properties calculated at the PBEsol level.

## Properties
* ΔE_f: -82 meV per atom
* distance to the lowest polymorph of the same formula: 34 meV/atom
* size of the total moment: 0.00 Bohr magnetons per cell
* uncorrected energy: -9.424 eV/atom

a = 4.6713 Å, b = 4.6713 Å, c = 4.6713 Å
α = 132.32°, β = 132.32°, γ = 69.73°
Fractional coordinates of all 4 atoms:
Tc (0.0000, 0.0000, 0.0000)
Ir (0.5000, 0.5000, 0.0000)
Rh (0.2500, 0.7500, 0.5000)
Rh (0.7500, 0.2500, 0.5000)

[14]
Below is MgBe2CoGe after structural relaxation, with properties calculated at the PBEsol level.

## Properties
* ΔE_f: 594 meV per atom
* size of the total moment: 0.00 Bohr magnetons per cell
* uncorrected energy: -3.885 eV/atom

a = 4.0584 Å, b = 4.0584 Å, c = 4.5569 Å
α = 90.00°, β = 90.00°, γ = 90.00°
Fractional coordinates of all 5 atoms:
Mg (0.0000, 0.0000, 0.0000)
Be (0.0000, 0.5000, 0.5000)
Be (0.5000, 0.0000, 0.5000)
Co (0.0000, 0.0000, 0.5000)
Ge (0.5000, 0.5000, 0.0000)

[15]
Below is Sc3Ta after structural relaxation, with properties calculated at the PBEsol level.

## Properties
* ΔE_f: 120 meV per atom
* distance to the lowest polymorph of the same formula: 0 meV/atom
* size of the total moment: 0.00 Bohr magnetons per cell
* uncorrected energy: -7.971 eV/atom

a = 3.0852 Å, b = 4.9339 Å, c = 5.5441 Å
α = 90.00°, β = 90.00°, γ = 90.00°
Fractional coordinates of all 4 atoms:
Sc (0.0000, 0.0000, 0.0000)
Sc (0.0000, 0.5000, 0.3205)
Sc (0.5000, 0.0000, 0.5237)
Ta (0.5000, 0.5000, 0.8289)

[16]
Below is Rb2LiCo2 after structural relaxation, with properties calculated at the PBEsol level.

## Properties
* ΔE_f: 697 meV per atom
* size of the total moment: 3.22 Bohr magnetons per cell
* uncorrected energy: -3.202 eV/atom

a = 12.7842 Å, b = 12.7842 Å, c = 12.7842 Å
α = 165.09°, β = 165.09°, γ = 21.14°
Fractional coordinates of all 5 atoms:
Rb (0.1364, 0.1364, 0.0000)
Rb (0.8636, 0.8636, 0.0000)
Li (0.5000, 0.5000, 0.0000)
Co (0.2500, 0.7500, 0.5000)
Co (0.7500, 0.2500, 0.5000)

[17]
Below is IrRu2Rh after structural relaxation, with properties calculated at the PBEsol level.

## Properties
* ΔE_f: 19 meV per atom
* distance to the lowest polymorph of the same formula: 10 meV/atom
* size of the total moment: 0.00 Bohr magnetons per cell
* uncorrected energy: -9.557 eV/atom

a = 8.8746 Å, b = 8.8746 Å, c = 8.8746 Å
α = 17.34°, β = 17.34°, γ = 17.34°
Fractional coordinates of all 4 atoms:
Ir (0.0000, 0.0000, 0.0000)
Ru (0.4979, 0.4979, 0.4979)
Ru (0.7500, 0.7500, 0.7500)
Rh (0.2478, 0.2478, 0.2478)

[18]
Below is Ta2CoIr after structural relaxation, with properties calculated at the PBEsol level.

## Properties
* ΔE_f: -14 meV per atom
* size of the total moment: 0.74 Bohr magnetons per cell
* uncorrected energy: -10.680 eV/atom

a = 8.8411 Å, b = 8.8411 Å, c = 8.8411 Å
α = 18.35°, β = 18.35°, γ = 18.35°
Fractional coordinates of all 4 atoms:
Ta (0.2461, 0.2461, 0.2461)
Ta (0.7539, 0.7539, 0.7539)
Co (0.5000, 0.5000, 0.5000)
Ir (0.0000, 0.0000, 0.0000)

[19]
Below is CaBe2W2 after structural relaxation, with properties calculated at the PBEsol level.

## Properties
* ΔE_f: 393 meV per atom
* size of the total moment: 0.00 Bohr magnetons per cell
* uncorrected energy: -7.156 eV/atom

a = 6.1734 Å, b = 6.1734 Å, c = 6.1734 Å
α = 144.37°, β = 144.37°, γ = 51.27°
Fractional coordinates of all 5 atoms:
Ca (0.0000, 0.0000, 0.0000)
Be (0.3925, 0.3925, 0.0000)
Be (0.6075, 0.6075, 0.0000)
W (0.2500, 0.7500, 0.5000)
W (0.7500, 0.2500, 0.5000)

[20]
Below is Rb2CeCuBr6 after structural relaxation, with properties calculated at the PBEsol level.

## Properties
* E_form (uncorrected): -1.4043 eV per atom
* size of the total moment: 1.00 Bohr magnetons per cell
* uncorrected energy: -3.824 eV/atom

a = 7.7122 Å, b = 7.7122 Å, c = 7.7122 Å
α = 60.00°, β = 60.00°, γ = 60.00°
Fractional coordinates of all 10 atoms:
Rb (0.2500, 0.2500, 0.2500)
Rb (0.7500, 0.7500, 0.7500)
Ce (0.0000, 0.0000, 0.0000)
Cu (0.5000, 0.5000, 0.5000)
Br (0.2615, 0.2615, 0.7385)
Br (0.2615, 0.7385, 0.2615)
Br (0.2615, 0.7385, 0.7385)
Br (0.7385, 0.2615, 0.2615)
Br (0.7385, 0.2615, 0.7385)
Br (0.7385, 0.7385, 0.2615)

[21]
Below is LiLaCr2 after structural relaxation, with properties calculated at the PBEsol level.

## Properties
* ΔE_f: 793 meV per atom
* distance to the lowest polymorph of the same formula: 339 meV/atom
* size of the total moment: 0.00 Bohr magnetons per cell
* uncorrected energy: -6.156 eV/atom

a = 2.9654 Å, b = 4.6436 Å, c = 5.1366 Å
α = 90.00°, β = 98.37°, γ = 90.00°
Fractional coordinates of all 4 atoms:
Li (0.0000, 0.0000, 0.0000)
La (0.5000, 0.0000, 0.5000)
Cr (0.1848, 0.5000, 0.8480)
Cr (0.8152, 0.5000, 0.1520)

[22]
Below is InCuAu after structural relaxation, with properties calculated at the PBEsol level.

## Properties
* ΔE_f: -34 meV per atom
* distance to the lowest polymorph of the same formula: 34 meV/atom
* size of the total moment: 0.00 Bohr magnetons per cell
* uncorrected energy: -3.781 eV/atom

a = 4.2736 Å, b = 4.2736 Å, c = 4.2736 Å
α = 60.00°, β = 60.00°, γ = 60.00°
Fractional coordinates of all 3 atoms:
In (0.0000, 0.0000, 0.0000)
Cu (0.7500, 0.7500, 0.7500)
Au (0.5000, 0.5000, 0.5000)

[23]
Below is KPF6 after structural relaxation, with properties calculated at the PBEsol level.

## Properties
* E_form (uncorrected): -2.8386 eV per atom
* size of the total moment: 0.00 Bohr magnetons per cell
* uncorrected energy: -5.150 eV/atom

a = 4.7733 Å, b = 4.7733 Å, c = 4.7733 Å
α = 97.99°, β = 97.99°, γ = 97.99°
Fractional coordinates of all 8 atoms:
K (0.0000, 0.0000, 0.0000)
P (0.5000, 0.5000, 0.5000)
F (0.2525, 0.5772, 0.2654)
F (0.2654, 0.2525, 0.5772)
F (0.4228, 0.7346, 0.7475)
F (0.5772, 0.2654, 0.2525)
F (0.7346, 0.7475, 0.4228)
F (0.7475, 0.4228, 0.7346)

[24]
Below is TlP2OsO after structural relaxation, with properties calculated at the PBEsol level.

## Properties
* E_form (uncorrected): 1.8795 eV per atom
* size of the total moment: 1.97 Bohr magnetons per cell
* uncorrected energy: -4.456 eV/atom

a = 4.9635 Å, b = 4.9635 Å, c = 3.8908 Å
α = 90.00°, β = 90.00°, γ = 90.00°
Fractional coordinates of all 5 atoms:
Tl (0.0000, 0.0000, 0.0000)
P (0.0000, 0.5000, 0.0000)
P (0.5000, 0.0000, 0.0000)
Os (0.5000, 0.5000, 0.5000)
O (0.0000, 0.0000, 0.5000)

[25]
Below is RbYAsBr2 after structural relaxation, with properties calculated at the PBEsol level.

## Properties
* E_form (uncorrected): 0.1287 eV per atom
* size of the total moment: 0.00 Bohr magnetons per cell
* uncorrected energy: -3.210 eV/atom

a = 5.6036 Å, b = 5.6036 Å, c = 5.6551 Å
α = 90.00°, β = 90.00°, γ = 90.00°
Fractional coordinates of all 5 atoms:
Rb (0.0000, 0.0000, 0.0000)
Y (0.5000, 0.5000, 0.5000)
As (0.0000, 0.0000, 0.5000)
Br (0.0000, 0.5000, 0.0000)
Br (0.5000, 0.0000, 0.0000)

[26]
Below is CrMo2 after structural relaxation, with properties calculated at the PBEsol level.

## Properties
* ΔE_f: 85 meV per atom
* distance to the lowest polymorph of the same formula: 13 meV/atom
* size of the total moment: 0.00 Bohr magnetons per cell
* uncorrected energy: -11.174 eV/atom

a = 4.2819 Å, b = 4.2819 Å, c = 2.6476 Å
α = 90.00°, β = 90.00°, γ = 120.00°
Fractional coordinates of all 3 atoms:
Cr (0.0000, 0.0000, 0.0000)
Mo (0.3333, 0.6667, 0.3308)
Mo (0.6667, 0.3333, 0.6692)

[27]
Below is GeCS2 after structural relaxation, with properties calculated at the PBEsol level.

## Properties
* E_form (uncorrected): 0.9458 eV per atom
* size of the total moment: 0.00 Bohr magnetons per cell
* uncorrected energy: -4.892 eV/atom

a = 5.7306 Å, b = 5.7306 Å, c = 5.7306 Å
α = 120.47°, β = 120.47°, γ = 89.19°
Fractional coordinates of all 8 atoms:
Ge (0.0000, 0.0000, 0.0000)
Ge (0.7500, 0.2500, 0.5000)
C (0.2500, 0.7500, 0.5000)
C (0.5000, 0.5000, 0.0000)
S (0.2337, 0.6250, 0.1087)
S (0.3750, 0.4837, 0.6087)
S (0.5163, 0.1250, 0.8913)
S (0.8750, 0.7663, 0.3913)

[28]
Below is Ca2FeTe after structural relaxation, with properties calculated at the PBEsol level.

## Properties
* E_form (uncorrected): -0.0830 eV per atom
* distance to the lowest polymorph of the same formula: 178 meV/atom
* size of the total moment: 2.27 Bohr magnetons per cell
* uncorrected energy: -4.272 eV/atom

a = 4.2939 Å, b = 4.2939 Å, c = 7.6649 Å
α = 104.08°, β = 104.08°, γ = 56.85°
Fractional coordinates of all 4 atoms:
Ca (0.2478, 0.2478, 0.2553)
Ca (0.7522, 0.7522, 0.7447)
Fe (0.0000, 0.0000, 0.5000)
Te (0.5000, 0.5000, 0.0000)